A plane-wave DFT calculation with GGA-PBE was carried out for an optimized crystal structure of Co7Ni6.

The structure belongs to space group R-3m (No. 166, hexagonal axes); the cell edges are 4.5598, 4.5598 and 24.1715 Å and the angles 90.00°, 90.00° and 120.00°. The distinct sites, in fractional coordinates, are Co at (0.0000, 0.0000, 0.0000), Co at (0.0000, 0.0000, 0.1649), Co at (0.0000, 0.0000, 0.3489), Co at (0.0000, 0.0000, 0.4540) and Ni at (0.0029, 0.5014, 0.4125).

For the magnetization, the calculation gives 47.56 Bohr magnetons per cell. Its raw total energy is -6.241 eV per atom.

=====

A plane-wave DFT calculation with GGA-PBE was carried out for an optimized crystal structure of Ta4GaB3.

The structure belongs to space group P6_3/mmc (No. 194); the cell edges are 3.2614, 3.2614 and 23.7688 Å and the angles 90.00°, 90.00° and 120.00°. The distinct sites, in fractional coordinates, are Ta at (0.0000, 0.0000, 0.1618), Ta at (0.3333, 0.6667, 0.0541), Ga at (0.3333, 0.6667, 0.2500), B at (0.0000, 0.0000, 0.0000) and B at (0.3333, 0.6667, 0.6119).

For the magnetization, the calculation gives 0.01 Bohr magnetons per cell. Its raw total energy is -9.376 eV per atom.

=====

A plane-wave DFT calculation with GGA-PBE was carried out for an optimized crystal structure of NaHf3As5.

The structure belongs to space group P6/mmm (No. 191); the cell edges are 6.1728, 6.1728 and 6.3804 Å and the angles 90.00°, 90.00° and 120.00°. The distinct sites, in fractional coordinates, are Na at (0.0000, 0.0000, 0.0000), Hf at (0.0000, 0.5000, 0.5000), As at (0.0000, 0.0000, 0.5000) and As at (0.3333, 0.6667, 0.1916).

For the magnetization, the calculation gives 0.00 Bohr magnetons per cell. Its raw total energy is -6.503 eV per atom.

=====

A plane-wave DFT calculation with GGA-PBE was carried out for an optimized crystal structure of Pr2Sn.

The structure belongs to space group Fd-3m (No. 227, origin choice 2); the cell edges are 13.791, 13.791 and 13.791 Å and the angles 90.00°, 90.00° and 90.00°. The distinct sites, in fractional coordinates, are Pr at (0.000, 0.000, 0.000) and Sn at (0.125, 0.125, 0.125).

For the magnetization, the calculation gives 8.04 Bohr magnetons per cell. Its raw total energy is -3.347 eV per atom.

=====

A plane-wave DFT calculation with GGA-PBE was carried out for an optimized crystal structure of GdP2Ir2.

The structure belongs to space group P4/nmm (No. 129, origin choice 2); the cell edges are 4.142, 4.142 and 9.563 Å and the angles 90.00°, 90.00° and 90.00°. The distinct sites, in fractional coordinates, are Gd at (0.250, 0.250, 0.241), P at (0.250, 0.250, 0.640), P at (0.250, 0.750, 0.000), Ir at (0.250, 0.250, 0.885) and Ir at (0.250, 0.750, 0.500).

For the magnetization, the calculation gives 0.00 Bohr magnetons per cell. Its raw total energy is -7.637 eV per atom.

=====

A plane-wave DFT calculation with GGA-PBE was carried out for an optimized crystal structure of CdGa2Pt2.

The structure belongs to space group I4/mmm (No. 139); the cell edges are 3.833, 3.833 and 12.149 Å and the angles 90.00°, 90.00° and 90.00°. The distinct sites, in fractional coordinates, are Cd at (0.000, 0.000, 0.000), Ga at (0.000, 0.500, 0.250) and Pt at (0.000, 0.000, 0.388).

For the magnetization, the calculation gives 0.00 Bohr magnetons per cell. Its raw total energy is -4.294 eV per atom.

=====

A plane-wave DFT calculation with GGA-PBE was carried out for an optimized crystal structure of Pr2IrPd.

The structure belongs to space group P2_1/m (No. 11); the cell edges are 5.873, 4.468 and 7.910 Å and the angles 90.00°, 110.19° and 90.00°. The distinct sites, in fractional coordinates, are Pr at (0.218, 0.250, 0.437), Pr at (0.229, 0.250, 0.925), Ir at (0.331, 0.750, 0.710) and Pd at (0.326, 0.750, 0.206).

For the magnetization, the calculation gives 0.00 Bohr magnetons per cell. Its raw total energy is -6.623 eV per atom.

=====

A plane-wave DFT calculation with GGA-PBE was carried out for an optimized crystal structure of CdIO3F.

The structure belongs to space group P2_12_12_1 (No. 19); the cell edges are 5.457, 5.745 and 10.882 Å and the angles 90.00°, 90.00° and 90.00°. The distinct sites, in fractional coordinates, are Cd at (0.046, 0.184, 0.357), I at (0.022, 0.890, 0.617), O at (0.118, 0.657, 0.947), O at (0.186, 0.841, 0.472), O at (0.227, 0.962, 0.204) and F at (0.239, 0.556, 0.708).

Its raw total energy is -4.168 eV per atom.

=====

A plane-wave DFT calculation with GGA-PBE was carried out for an optimized crystal structure of ScTlCoW.

The structure belongs to space group F-43m (No. 216); the cell edges are 6.528, 6.528 and 6.528 Å and the angles 90.00°, 90.00° and 90.00°. The distinct sites, in fractional coordinates, are Sc at (0.000, 0.000, 0.000), Tl at (0.250, 0.250, 0.250), Co at (0.000, 0.000, 0.500) and W at (0.250, 0.250, 0.750).

For the magnetization, the calculation gives 11.99 Bohr magnetons per cell. Its raw total energy is -6.647 eV per atom.

=====

A plane-wave DFT calculation with GGA-PBE was carried out for an optimized crystal structure of MgFeHgTe.

The structure belongs to space group F-43m (No. 216); the cell edges are 6.951, 6.951 and 6.951 Å and the angles 90.00°, 90.00° and 90.00°. The distinct sites, in fractional coordinates, are Mg at (0.000, 0.000, 0.000), Fe at (0.000, 0.000, 0.500), Hg at (0.250, 0.250, 0.750) and Te at (0.250, 0.250, 0.250).

For the magnetization, the calculation gives 10.59 Bohr magnetons per cell. Its raw total energy is -3.102 eV per atom.

=====

A plane-wave DFT calculation with GGA-PBE was carried out for an optimized crystal structure of Li2CuSnS4.

The structure belongs to space group Pmn2_1 (No. 31); the cell edges are 7.514, 6.948 and 6.411 Å and the angles 90.00°, 90.00° and 90.00°. The distinct sites, in fractional coordinates, are Li at (0.248, 0.165, 0.000), Cu at (0.000, 0.341, 0.497), Sn at (0.000, 0.660, 0.002), S at (0.000, 0.341, 0.853), S at (0.000, 0.652, 0.381) and S at (0.238, 0.167, 0.379).

Its raw total energy is -4.174 eV per atom.

=====

A plane-wave DFT calculation with GGA-PBE was carried out for an optimized crystal structure of Ta2B2PdPt.

The structure belongs to space group Amm2 (No. 38); the cell edges are 2.706, 4.099 and 18.007 Å and the angles 90.00°, 90.00° and 90.00°. The distinct sites, in fractional coordinates, are Ta at (0.000, 0.000, 0.000), Ta at (0.000, 0.000, 0.153), B at (0.000, 0.000, 0.279), B at (0.000, 0.000, 0.872), Pd at (0.000, 0.000, 0.752) and Pt at (0.000, 0.000, 0.397).

For the magnetization, the calculation gives 0.03 Bohr magnetons per cell. Its raw total energy is -7.265 eV per atom.

=====

A plane-wave DFT calculation with GGA-PBE was carried out for an optimized crystal structure of Fe2TcMo2.

The structure belongs to space group I4/mmm (No. 139); the cell edges are 3.789, 3.789 and 10.075 Å and the angles 90.00°, 90.00° and 90.00°. The distinct sites, in fractional coordinates, are Fe at (0.000, 0.000, 0.100), Tc at (0.000, 0.000, 0.500) and Mo at (0.000, 0.500, 0.250).

For the magnetization, the calculation gives 1.80 Bohr magnetons per cell. Its raw total energy is -9.134 eV per atom.

=====

A plane-wave DFT calculation with GGA-PBE was carried out for an optimized crystal structure of YAgPO.

The structure belongs to space group Pmc2_1 (No. 26); the cell edges are 4.101, 6.295 and 5.603 Å and the angles 90.00°, 90.00° and 90.00°. The distinct sites, in fractional coordinates, are Y at (0.000, 0.243, 0.000), Ag at (0.500, 0.340, 0.474), P at (0.500, 0.014, 0.738) and O at (0.000, 0.467, 0.296).

For the magnetization, the calculation gives 0.01 Bohr magnetons per cell. Its raw total energy is -6.149 eV per atom.

=====

A plane-wave DFT calculation with GGA-PBE was carried out for an optimized crystal structure of CuOs2Pd.

The structure belongs to space group F-43m (No. 216); the cell edges are 6.095, 6.095 and 6.095 Å and the angles 90.00°, 90.00° and 90.00°. The distinct sites, in fractional coordinates, are Cu at (0.000, 0.000, 0.000), Os at (0.000, 0.000, 0.500), Os at (0.250, 0.250, 0.250) and Pd at (0.250, 0.250, 0.750).

For the magnetization, the calculation gives 3.22 Bohr magnetons per cell. Its raw total energy is -7.338 eV per atom.

=====

A plane-wave DFT calculation with GGA-PBE was carried out for an optimized crystal structure of TbNdNi8B2.

The structure belongs to space group P6/mmm (No. 191); the cell edges are 5.0397, 5.0397 and 6.9783 Å and the angles 90.00°, 90.00° and 120.00°. The distinct sites, in fractional coordinates, are Tb at (0.0000, 0.0000, 0.0000), Nd at (0.0000, 0.0000, 0.5000), Ni at (0.0000, 0.5000, 0.2914), Ni at (0.3333, 0.6667, 0.0000) and B at (0.3333, 0.6667, 0.5000).

For the magnetization, the calculation gives 0.01 Bohr magnetons per cell. Its raw total energy is -6.047 eV per atom.

=====

A plane-wave DFT calculation with GGA-PBE was carried out for an optimized crystal structure of GaFeTcW.

The structure belongs to space group F-43m (No. 216); the cell edges are 6.041, 6.041 and 6.041 Å and the angles 90.00°, 90.00° and 90.00°. The distinct sites, in fractional coordinates, are Ga at (0.000, 0.000, 0.000), Fe at (0.250, 0.250, 0.250), Tc at (0.250, 0.250, 0.750) and W at (0.000, 0.000, 0.500).

For the magnetization, the calculation gives 0.06 Bohr magnetons per cell. Its raw total energy is -8.755 eV per atom.

=====

A plane-wave DFT calculation with GGA-PBE was carried out for an optimized crystal structure of Pm2Nb2O5.

The structure belongs to space group P4/mmm (No. 123); the cell edges are 4.080, 4.080 and 7.052 Å and the angles 90.00°, 90.00° and 90.00°. The distinct sites, in fractional coordinates, are Pm at (0.000, 0.000, 0.000), Pm at (0.000, 0.000, 0.500), Nb at (0.500, 0.500, 0.196), O at (0.000, 0.500, 0.245) and O at (0.500, 0.500, 0.500).

For the magnetization, the calculation gives 0.01 Bohr magnetons per cell. Its raw total energy is -8.423 eV per atom.

=====

A plane-wave DFT calculation with GGA-PBE was carried out for an optimized crystal structure of MgAlBPd.

The structure belongs to space group F-43m (No. 216); the cell edges are 6.016, 6.016 and 6.016 Å and the angles 90.00°, 90.00° and 90.00°. The distinct sites, in fractional coordinates, are Mg at (0.000, 0.000, 0.000), Al at (0.000, 0.000, 0.500), B at (0.250, 0.250, 0.750) and Pd at (0.250, 0.250, 0.250).

Its raw total energy is -4.173 eV per atom.

=====

A plane-wave DFT calculation with GGA-PBE was carried out for an optimized crystal structure of CsHfAgTe3.

The structure belongs to space group Cmcm (No. 63); the cell edges are 4.231, 17.145 and 11.192 Å and the angles 90.00°, 90.00° and 90.00°. The distinct sites, in fractional coordinates, are Cs at (0.000, 0.246, 0.250), Hf at (0.000, 0.000, 0.000), Ag at (0.000, 0.460, 0.750), Te at (0.000, 0.065, 0.750) and Te at (0.000, 0.383, 0.535).

For the magnetization, the calculation gives 0.01 Bohr magnetons per cell. Its raw total energy is -4.591 eV per atom.